Here is CoCu3P after structural relaxation from the Alexandria database. Energies are from PBE-GGA.

Excess energy over the best structure of this formula in the dataset ... 0 meV per atom
Total magnetic moment ... 0.33 μB/atom
ΔE_f ... 0.5925 eV per atom

Cell and atoms, written as extended XYZ:
```
5
Lattice="-2.468 -3.038 -1.669 3.405 -2.507 -0.471 -0.647 -1.609 3.886" Properties=species:S:1:pos:R:3 pbc="T T T"
Cu -1.234 -1.519 -0.834
Cu 1.703 -1.254 -0.236
P 0.000 0.000 0.000
Co 0.145 -3.577 0.873
Cu -0.323 -0.804 1.943
```

***

Here is Co2CuP after structural relaxation from the Alexandria database. Energies are from PBE-GGA.

Excess energy over the best structure of this formula in the dataset ... 81 meV per atom
Total magnetic moment ... 0.00 μB/atom
ΔE_f ... -0.0608 eV per atom

Cell and atoms, written as extended XYZ:
```
4
Lattice="-3.316 -1.341 -0.679 -0.279 -1.069 3.469 -1.313 2.856 0.774" Properties=species:S:1:pos:R:3 pbc="T T T"
Co 0.000 0.000 0.000
Co -1.797 -1.205 1.395
Cu -2.314 0.758 0.047
P -0.796 0.894 2.122
```

***

Here is Co2CuP2 after structural relaxation from the Alexandria database. Energies are from PBE-GGA.

Excess energy over the best structure of this formula in the dataset ... 0 meV per atom
Total magnetic moment ... 0.00 μB/atom
ΔE_f ... -0.1947 eV per atom

Cell and atoms, written as extended XYZ:
```
10
Lattice="-3.293 -1.088 -0.714 -0.297 -2.010 4.430 -2.506 5.929 2.522" Properties=species:S:1:pos:R:3 pbc="T T T"
Co -2.206 0.102 1.239
P -1.754 2.114 4.863
Cu 0.000 0.000 0.000
Co -2.900 2.421 0.904
P -1.050 1.805 2.089
Co -3.048 1.416 3.119
Co -3.890 2.729 4.999
Cu -0.148 -1.005 2.215
P -2.305 -1.022 3.403
P -3.792 3.853 2.834
```

***

Here is Co2CuP after structural relaxation from the Alexandria database. Energies are from PBE-GGA.

Excess energy over the best structure of this formula in the dataset ... 255 meV per atom
Total magnetic moment ... 0.66 μB/atom
ΔE_f ... 0.1135 eV per atom

Cell and atoms, written as extended XYZ:
```
4
Lattice="-1.723 -2.416 2.675 0.081 -3.958 -0.540 2.259 -2.293 2.367" Properties=species:S:1:pos:R:3 pbc="T T T"
P 0.463 -6.501 3.377
Co 0.000 0.000 0.000
Cu 0.308 -4.334 2.251
Co 0.154 -2.167 1.126
```

***

Here is Co2CuP after structural relaxation from the Alexandria database. Energies are from PBE-GGA.

Excess energy over the best structure of this formula in the dataset ... 182 meV per atom
Total magnetic moment ... 0.55 μB/atom
ΔE_f ... 0.0408 eV per atom

Cell and atoms, written as extended XYZ:
```
4
Lattice="-1.235 -2.300 0.592 0.879 -1.265 -3.079 4.188 -1.756 1.916" Properties=species:S:1:pos:R:3 pbc="T T T"
Co 0.847 -2.212 -0.774
P 3.091 -3.153 0.252
Cu 2.039 -0.855 0.933
Co 4.137 -1.734 1.893
```

***

Here is CoCu2P after structural relaxation from the Alexandria database. Energies are from PBE-GGA.

Total magnetic moment ... 0.00 μB/atom
ΔE_f ... -0.0647 eV per atom

Cell and atoms, written as extended XYZ:
```
4
Lattice="3.672 -0.650 0.347 2.362 2.886 0.347 1.603 0.594 4.245" Properties=species:S:1:pos:R:3 pbc="T T T"
Cu 1.913 0.709 1.309
P 3.744 1.387 3.123
Co 5.784 2.143 3.134
Cu 1.619 0.600 4.088
```

***

Here is CoCu4P after structural relaxation from the Alexandria database. Energies are from PBE-GGA.

Total magnetic moment ... 0.27 μB/atom
ΔE_f ... 0.3807 eV per atom

Cell and atoms, written as extended XYZ:
```
6
Lattice="0.000 3.367 3.367 3.367 0.000 3.367 3.367 3.367 0.000" Properties=species:S:1:pos:R:3 pbc="T T T"
Cu 2.524 4.211 4.211
P 5.051 5.051 5.051
Cu 4.211 4.211 2.524
Cu 2.524 2.524 2.524
Co 0.000 0.000 0.000
Cu 4.211 2.524 4.211
```

***

Here is Co2CuP after structural relaxation from the Alexandria database. Energies are from PBE-GGA.

Excess energy over the best structure of this formula in the dataset ... 280 meV per atom
Total magnetic moment ... 0.53 μB/atom
ΔE_f ... 0.1384 eV per atom

Cell and atoms, written as extended XYZ:
```
4
Lattice="-2.220 -4.027 -0.172 4.561 -0.348 -0.503 0.756 -1.198 2.174" Properties=species:S:1:pos:R:3 pbc="T T T"
P 2.658 -0.773 0.835
Co 0.000 0.000 0.000
Cu -0.732 -2.612 1.001
Co 1.171 -2.188 -0.338
```

***

Here is CoCu2P after structural relaxation from the Alexandria database. Energies are from PBE-GGA.

Total magnetic moment ... 0.21 μB/atom
ΔE_f ... 0.1506 eV per atom

Cell and atoms, written as extended XYZ:
```
4
Lattice="-4.002 1.790 0.344 1.876 -1.226 3.783 1.127 2.473 0.242" Properties=species:S:1:pos:R:3 pbc="T T T"
Co 1.501 0.624 2.013
P -1.438 2.131 0.293
Cu 0.000 0.000 0.000
Cu -1.063 0.282 2.064
```

***

Here is Co3CuP after structural relaxation from the Alexandria database. Energies are from PBE-GGA.

Excess energy over the best structure of this formula in the dataset ... 977 meV per atom
Total magnetic moment ... 1.11 μB/atom
ΔE_f ... 1.3554 eV per atom

Cell and atoms, written as extended XYZ:
```
5
Lattice="-0.046 3.229 -2.805 -3.786 1.275 1.530 1.991 2.499 2.844" Properties=species:S:1:pos:R:3 pbc="T T T"
P -0.920 3.501 0.785
Co -1.893 0.638 0.765
Co -0.023 1.615 -1.402
Cu 0.000 0.000 0.000
Co 0.995 1.249 1.422
```

***

Here is CoCu2P after structural relaxation from the Alexandria database. Energies are from PBE-GGA.

Total magnetic moment ... 0.41 μB/atom
ΔE_f ... 0.2584 eV per atom

Cell and atoms, written as extended XYZ:
```
4
Lattice="8.284 0.002 0.001 7.871 2.585 0.001 7.871 1.260 2.257" Properties=species:S:1:pos:R:3 pbc="T T T"
Cu 23.995 3.843 2.256
P 6.006 0.962 0.565
Cu 12.044 1.929 1.133
Co 18.019 2.886 1.695
```

***

Here is Co2CuP after structural relaxation from the Alexandria database. Energies are from PBE-GGA.

Excess energy over the best structure of this formula in the dataset ... 131 meV per atom
Total magnetic moment ... 0.53 μB/atom
ΔE_f ... -0.0105 eV per atom

Cell and atoms, written as extended XYZ:
```
4
Lattice="3.822 0.000 0.000 0.000 2.686 -0.004 0.000 1.360 4.448" Properties=species:S:1:pos:R:3 pbc="T T T"
P 1.911 3.533 3.381
Co 0.000 3.543 4.417
Cu 0.000 2.197 2.311
Co 1.911 0.842 1.000
```

***

Here is CoCu2P after structural relaxation from the Alexandria database. Energies are from PBE-GGA.

Total magnetic moment ... 0.11 μB/atom
ΔE_f ... 0.0180 eV per atom

Cell and atoms, written as extended XYZ:
```
4
Lattice="4.939 0.077 -0.005 4.090 2.770 -0.005 1.451 0.458 3.471" Properties=species:S:1:pos:R:3 pbc="T T T"
Cu 8.803 2.776 0.094
Cu 5.465 1.724 1.628
Co 7.860 2.479 2.596
P 2.620 0.826 0.865
```

***

Here is Co2CuP after structural relaxation from the Alexandria database. Energies are from PBE-GGA.

Excess energy over the best structure of this formula in the dataset ... 0 meV per atom
Total magnetic moment ... 0.15 μB/atom
ΔE_f ... -0.1414 eV per atom

Cell and atoms, written as extended XYZ:
```
4
Lattice="2.691 0.000 0.000 0.000 2.691 0.000 0.000 0.000 6.043" Properties=species:S:1:pos:R:3 pbc="T T T"
P 1.346 1.346 4.532
Co 0.000 0.000 3.265
Co 0.000 0.000 5.799
Cu 1.346 1.346 1.511
```

***

Here is Co2CuP after structural relaxation from the Alexandria database. Energies are from PBE-GGA.

Excess energy over the best structure of this formula in the dataset ... 17 meV per atom
Total magnetic moment ... 0.00 μB/atom
ΔE_f ... -0.1242 eV per atom

Cell and atoms, written as extended XYZ:
```
4
Lattice="4.110 -0.052 -0.025 0.778 4.036 0.025 -2.211 -2.278 2.612" Properties=species:S:1:pos:R:3 pbc="T T T"
Cu 2.172 -0.169 1.293
Co 0.141 0.115 0.000
P 0.506 1.875 1.318
Co 2.303 1.877 0.000
```

***

Here is Co2CuP after structural relaxation from the Alexandria database. Energies are from PBE-GGA.

Excess energy over the best structure of this formula in the dataset ... 108 meV per atom
Total magnetic moment ... 0.41 μB/atom
ΔE_f ... -0.0336 eV per atom

Cell and atoms, written as extended XYZ:
```
4
Lattice="-3.676 2.754 -1.434 -2.613 -1.194 -3.860 1.577 -1.326 4.349" Properties=species:S:1:pos:R:3 pbc="T T T"
P -2.010 -0.890 -1.012
Co -2.669 1.116 0.094
Co -0.221 0.055 -0.186
Cu -2.957 0.733 -2.489
```

***

Here is Co3CuP after structural relaxation from the Alexandria database. Energies are from PBE-GGA.

Excess energy over the best structure of this formula in the dataset ... 0 meV per atom
Total magnetic moment ... 0.69 μB/atom
ΔE_f ... 0.3786 eV per atom

Cell and atoms, written as extended XYZ:
```
5
Lattice="-0.826 -3.646 1.696 3.928 -0.361 1.138 -0.862 1.852 3.561" Properties=species:S:1:pos:R:3 pbc="T T T"
P 0.000 0.000 0.000
Co -0.413 -1.823 0.848
Cu 1.120 -1.077 3.198
Co 1.964 -0.180 0.569
Co -0.431 0.926 1.781
```

***

Here is CoCu3P after structural relaxation from the Alexandria database. Energies are from PBE-GGA.

Excess energy over the best structure of this formula in the dataset ... 570 meV per atom
Total magnetic moment ... 0.41 μB/atom
ΔE_f ... 1.1626 eV per atom

Cell and atoms, written as extended XYZ:
```
5
Lattice="4.365 0.000 0.000 0.000 4.365 0.000 0.000 0.000 4.365" Properties=species:S:1:pos:R:3 pbc="T T T"
P 2.182 2.182 2.182
Cu 2.182 0.000 0.000
Cu 0.000 0.000 2.182
Cu 0.000 2.182 0.000
Co 0.000 0.000 0.000
```

***

Here is CoCu2P after structural relaxation from the Alexandria database. Energies are from PBE-GGA.

Total magnetic moment ... 0.23 μB/atom
ΔE_f ... 0.0861 eV per atom

Cell and atoms, written as extended XYZ:
```
4
Lattice="4.063 0.000 0.000 0.000 2.646 0.005 0.000 1.601 4.444" Properties=species:S:1:pos:R:3 pbc="T T T"
Co 2.031 3.185 3.337
P 2.031 1.062 1.112
Cu 0.000 0.452 0.041
Cu 0.000 1.672 2.184
```

***

Here is CoCu2P after structural relaxation from the Alexandria database. Energies are from PBE-GGA.

Total magnetic moment ... 0.00 μB/atom
ΔE_f ... 0.2413 eV per atom

Cell and atoms, written as extended XYZ:
```
8
Lattice="6.718 0.000 0.000 0.000 6.718 0.000 3.359 3.359 2.258" Properties=species:S:1:pos:R:3 pbc="T T T"
Cu 8.398 8.179 1.694
Cu 5.039 5.258 1.694
Co 0.000 0.000 0.000
Cu 4.820 1.680 0.565
P 3.359 3.359 0.000
P 3.359 6.718 1.129
Cu 1.899 5.039 0.565
Co 6.718 3.359 1.129
```